No. 1
A plane-wave DFT calculation with PBE was carried out for a relaxed structure of Sm8TmIn6.

The structure in POSCAR format:
```
Sm8TmIn6
1.0
4.5721 2.6397 6.5829
-4.5721 2.6397 6.5829
0.0000 -5.2794 6.5829
Sm Tm In
8 1 6
Direct
0.0520 0.3857 0.7191
0.1657 0.1657 0.1657
0.2809 0.9480 0.6143
0.3857 0.7191 0.0520
0.6143 0.2809 0.9480
0.7191 0.0520 0.3857
0.8343 0.8343 0.8343
0.9480 0.6143 0.2809
0.5000 0.5000 0.5000
0.1161 0.7722 0.4449
0.2278 0.5551 0.8839
0.4449 0.1161 0.7722
0.5551 0.8839 0.2278
0.7722 0.4449 0.1161
0.8839 0.2278 0.5551
```

E = -0.152 Ha/atom

No. 2
A plane-wave DFT calculation with PBE was carried out for a relaxed structure of Sm7Tm4In.

The structure in POSCAR format:
```
Sm7Tm4In
1.0
6.0328 0.0000 0.0000
-0.0145 6.7963 0.0000
-0.3725 -3.3885 9.3399
Sm Tm In
7 4 1
Direct
0.0000 0.0000 0.0000
0.2380 0.7164 0.4329
0.2513 0.1806 0.3609
0.2521 0.5425 0.0848
0.7479 0.4575 0.9152
0.7487 0.8194 0.6391
0.7620 0.2836 0.5671
0.2679 0.1293 0.7383
0.2675 0.6097 0.7389
0.7325 0.3903 0.2611
0.7321 0.8707 0.2617
0.5000 0.0000 0.0000
```

E = -0.164 Ha/atom
Distance to the lowest polymorph of the same formula = 0.0000 eV per atom

No. 3
A plane-wave DFT calculation with PBE was carried out for a relaxed structure of Sm7Tm3In.

The structure in POSCAR format:
```
Sm7Tm3In
1.0
7.0264 0.0000 0.0000
-3.5132 6.0850 0.0000
0.0000 0.0000 8.5294
Sm Tm In
7 3 1
Direct
0.0000 0.0000 0.0000
0.1640 0.3279 0.3402
0.1640 0.8360 0.3402
0.5021 0.0042 0.0083
0.5021 0.4979 0.0083
0.6721 0.8360 0.3402
0.9958 0.4979 0.0083
0.3329 0.1665 0.6713
0.8335 0.1665 0.6713
0.8335 0.6671 0.6713
0.6667 0.3333 0.3493
```

E = -0.160 Ha/atom

No. 4
A plane-wave DFT calculation with PBE was carried out for a relaxed structure of Sm6TmIn3.

The structure in POSCAR format:
```
Sm6TmIn3
1.0
5.2805 -7.8448 0.0000
5.2805 7.8448 0.0000
0.0000 0.0000 7.7791
Sm Tm In
12 2 6
Direct
0.0443 0.9557 0.5000
0.0838 0.4547 0.9981
0.2267 0.2930 0.6855
0.2930 0.2267 0.1855
0.3065 0.6935 0.6410
0.4547 0.0838 0.4981
0.5453 0.9162 0.9981
0.6935 0.3065 0.1410
0.7070 0.7733 0.6855
0.7733 0.7070 0.1855
0.9162 0.5453 0.4981
0.9557 0.0443 0.0000
0.1965 0.8035 0.2068
0.8035 0.1965 0.7068
0.0055 0.2805 0.3577
0.2805 0.0055 0.8577
0.4546 0.5454 0.9594
0.5454 0.4546 0.4594
0.7195 0.9945 0.3577
0.9945 0.7195 0.8577
```

E = -0.156 Ha/atom
Distance to the lowest polymorph of the same formula = 0.1239 eV per atom

No. 5
A plane-wave DFT calculation with PBE was carried out for a relaxed structure of SmTm2In3.

The structure in POSCAR format:
```
SmTm2In3
1.0
3.7217 0.0000 0.0000
0.0000 3.7217 0.0000
0.0000 0.0000 11.4733
Sm Tm In
1 2 3
Direct
0.0000 0.0000 0.0000
0.0000 0.0000 0.3383
0.0000 0.0000 0.6617
0.5000 0.5000 0.1770
0.5000 0.5000 0.5000
0.5000 0.5000 0.8230
```

E = -0.150 Ha/atom

No. 6
A plane-wave DFT calculation with PBE was carried out for a relaxed structure of Sm3Tm3In2.

The structure in POSCAR format:
```
Sm3Tm3In2
1.0
2.5448 -5.8700 0.0000
2.5448 5.8700 0.0000
0.0000 0.0000 16.3895
Sm Tm In
6 6 4
Direct
0.0431 0.9569 0.6036
0.0431 0.9569 0.8964
0.2660 0.7340 0.7500
0.7340 0.2660 0.2500
0.9569 0.0431 0.1036
0.9569 0.0431 0.3964
0.3602 0.6398 0.5387
0.3602 0.6398 0.9613
0.4546 0.5454 0.2500
0.5454 0.4546 0.7500
0.6398 0.3602 0.0387
0.6398 0.3602 0.4613
0.2383 0.7617 0.1317
0.2383 0.7617 0.3683
0.7617 0.2383 0.6317
0.7617 0.2383 0.8683
```

E = -0.158 Ha/atom
Distance to the lowest polymorph of the same formula = 0.1011 eV per atom

No. 7
A plane-wave DFT calculation with PBE was carried out for a relaxed structure of Sm5Tm2In5.

The structure in POSCAR format:
```
Sm5Tm2In5
1.0
5.8748 -2.6022 0.0000
5.8748 2.6022 0.0000
-4.1245 0.0000 11.3334
Sm Tm In
5 2 5
Direct
0.0000 0.0000 0.0000
0.1355 0.1355 0.7733
0.1547 0.1547 0.4989
0.8453 0.8453 0.5011
0.8645 0.8645 0.2267
0.4279 0.4279 0.7426
0.5721 0.5721 0.2574
0.2274 0.2274 0.2691
0.3302 0.3302 0.0390
0.5000 0.5000 0.5000
0.6698 0.6698 0.9610
0.7726 0.7726 0.7309
```

E = -0.153 Ha/atom

No. 8
A plane-wave DFT calculation with PBE was carried out for a relaxed structure of Sm3Tm3In.

The structure in POSCAR format:
```
Sm3Tm3In
1.0
9.4177 0.0000 0.0000
-4.7088 8.1560 0.0000
0.0000 0.0000 5.5454
Sm Tm In
6 6 2
Direct
0.1055 0.6301 0.2500
0.3699 0.4754 0.2500
0.4754 0.1055 0.7500
0.5246 0.8945 0.2500
0.6301 0.5246 0.7500
0.8945 0.3699 0.7500
0.0596 0.8237 0.7500
0.1763 0.2359 0.7500
0.2359 0.0596 0.2500
0.7641 0.9404 0.7500
0.8237 0.7641 0.2500
0.9404 0.1763 0.2500
0.3333 0.6667 0.7500
0.6667 0.3333 0.2500
```

E = -0.163 Ha/atom
Distance to the lowest polymorph of the same formula = 0.0000 eV per atom

Number 1: energy relative to the elements -231.1 meV/atom. Number 2: energy relative to the elements 2.7 meV/atom. Number 3: energy relative to the elements 113.3 meV/atom. Number 4: energy relative to the elements -137.6 meV/atom. Number 5: energy relative to the elements -448.6 meV/atom. Number 6: energy relative to the elements -159.8 meV/atom. Number 7: energy relative to the elements -308.1 meV/atom. Number 8: energy relative to the elements -114.8 meV/atom.